Here is a geometry-optimized ErMgGaS4 structure from Alexandria. Energies are from GGA-PBE.

Properties
Uncorrected formation energy, eV/f.u.: -9.4

```
data_ErMgGaS4
_chemical_formula_sum 'Er2 Mg2 Ga2 S8'
_space_group_name_H-M_alt 'P 1'
_space_group_IT_number 1
_cell_length_a 7.555
_cell_length_b 7.555
_cell_length_c 7.555
_cell_angle_alpha 60.08
_cell_angle_beta 60.00
_cell_angle_gamma 60.00
loop_
_space_group_symop_operation_xyz
'x,y,z'
loop_
_atom_site_label
_atom_site_type_symbol
_atom_site_fract_x
_atom_site_fract_y
_atom_site_fract_z
_atom_site_occupancy
S1 S 0.750 0.247 0.747 1
S2 S 0.748 0.242 0.262 1
S3 S 0.252 0.238 0.258 1
S4 S 0.252 0.758 0.738 1
S5 S 0.744 0.753 0.253 1
S6 S 0.748 0.762 0.742 1
S7 S 0.250 0.753 0.253 1
S8 S 0.256 0.247 0.747 1
Er1 Er 0.000 0.500 0.500 1
Er2 Er 0.000 0.000 0.000 1
Mg1 Mg 0.000 0.000 0.500 1
Mg2 Mg 0.500 0.000 0.500 1
Ga1 Ga 0.631 0.619 0.119 1
Ga2 Ga 0.369 0.381 0.881 1
```

---

Here is a geometry-optimized Ta3FeB structure from Alexandria. Energies are from GGA-PBE.

Properties
Energy relative to the lowest polymorph listed for this composition, eV per formula unit: 5.57

```
data_Ta3FeB
_chemical_formula_sum 'Ta3 Fe1 B1'
_space_group_name_H-M_alt 'P 1'
_space_group_IT_number 1
_cell_length_a 4.501
_cell_length_b 4.501
_cell_length_c 4.501
_cell_angle_alpha 90.00
_cell_angle_beta 90.00
_cell_angle_gamma 90.00
loop_
_space_group_symop_operation_xyz
'x,y,z'
loop_
_atom_site_label
_atom_site_type_symbol
_atom_site_fract_x
_atom_site_fract_y
_atom_site_fract_z
_atom_site_occupancy
Ta1 Ta 0.000 0.000 0.500 1
Ta2 Ta 0.500 0.000 0.000 1
Ta3 Ta 0.000 0.500 0.000 1
Fe1 Fe 0.000 0.000 0.000 1
B1 B 0.500 0.500 0.500 1
```

---

Here is a geometry-optimized PrZnCu structure from Alexandria. Energies are from GGA-PBE.

Properties
Total DFT energy (no corrections), eV per atom: -3.624

```
data_PrZnCu
_chemical_formula_sum 'Pr2 Zn2 Cu2'
_space_group_name_H-M_alt 'P 1'
_space_group_IT_number 1
_cell_length_a 4.237
_cell_length_b 3.949
_cell_length_c 8.312
_cell_angle_alpha 103.28
_cell_angle_beta 75.80
_cell_angle_gamma 88.71
loop_
_space_group_symop_operation_xyz
'x,y,z'
loop_
_atom_site_label
_atom_site_type_symbol
_atom_site_fract_x
_atom_site_fract_y
_atom_site_fract_z
_atom_site_occupancy
Zn1 Zn 0.654 0.043 0.450 1
Zn2 Zn 0.071 0.127 0.619 1
Pr1 Pr 0.481 0.716 0.800 1
Pr2 Pr 0.245 0.453 0.270 1
Cu1 Cu 0.909 0.290 0.944 1
Cu2 Cu 0.817 0.879 0.126 1
```

---

Here is a geometry-optimized Ho2Zn3Pt structure from Alexandria. Energies are from GGA-PBE.

Properties
Total DFT energy (no corrections), eV per atom: -3.820

```
data_Ho2Zn3Pt
_chemical_formula_sum 'Ho2 Zn3 Pt1'
_space_group_name_H-M_alt 'P 1'
_space_group_IT_number 1
_cell_length_a 3.553
_cell_length_b 4.427
_cell_length_c 7.660
_cell_angle_alpha 90.00
_cell_angle_beta 90.00
_cell_angle_gamma 90.00
loop_
_space_group_symop_operation_xyz
'x,y,z'
loop_
_atom_site_label
_atom_site_type_symbol
_atom_site_fract_x
_atom_site_fract_y
_atom_site_fract_z
_atom_site_occupancy
Zn1 Zn 0.500 0.500 0.676 1
Zn2 Zn 0.500 0.000 0.829 1
Zn3 Zn 0.500 0.000 0.156 1
Ho1 Ho 0.000 0.500 0.024 1
Ho2 Ho 0.000 0.000 0.479 1
Pt1 Pt 0.500 0.500 0.336 1
```

---

Here is a geometry-optimized YAlP2 structure from Alexandria. Energies are from GGA-PBE.

Properties
Total DFT energy (no corrections), eV per atom: -6.080

```
data_YAlP2
_chemical_formula_sum 'Y2 Al2 P4'
_space_group_name_H-M_alt 'P 1'
_space_group_IT_number 1
_cell_length_a 6.677
_cell_length_b 6.677
_cell_length_c 6.138
_cell_angle_alpha 57.05
_cell_angle_beta 57.05
_cell_angle_gamma 90.00
loop_
_space_group_symop_operation_xyz
'x,y,z'
loop_
_atom_site_label
_atom_site_type_symbol
_atom_site_fract_x
_atom_site_fract_y
_atom_site_fract_z
_atom_site_occupancy
Y1 Y 0.750 0.250 0.500 1
Y2 Y 0.000 0.000 0.000 1
P1 P 0.375 0.425 0.750 1
P2 P 0.875 0.825 0.750 1
P3 P 0.175 0.625 0.250 1
P4 P 0.575 0.125 0.250 1
Al1 Al 0.250 0.750 0.500 1
Al2 Al 0.500 0.500 0.000 1
```

---

Here is a geometry-optimized Pr5Y3As8 structure from Alexandria. Energies are from GGA-PBE.

Properties
Total DFT energy (no corrections), eV per atom: -6.542

```
data_Pr5Y3As8
_chemical_formula_sum 'Pr5 Y3 As8'
_space_group_name_H-M_alt 'P 1'
_space_group_IT_number 1
_cell_length_a 8.483
_cell_length_b 8.483
_cell_length_c 8.480
_cell_angle_alpha 59.99
_cell_angle_beta 59.99
_cell_angle_gamma 60.00
loop_
_space_group_symop_operation_xyz
'x,y,z'
loop_
_atom_site_label
_atom_site_type_symbol
_atom_site_fract_x
_atom_site_fract_y
_atom_site_fract_z
_atom_site_occupancy
Pr1 Pr 0.000 0.500 0.000 1
Pr2 Pr 0.500 0.500 0.000 1
Pr3 Pr 0.000 0.000 0.000 1
Pr4 Pr 0.500 0.000 0.000 1
Pr5 Pr 0.500 0.500 0.500 1
Y1 Y 0.000 0.000 0.500 1
Y2 Y 0.000 0.500 0.500 1
Y3 Y 0.500 0.000 0.500 1
As1 As 0.757 0.250 0.743 1
As2 As 0.750 0.750 0.257 1
As3 As 0.250 0.250 0.743 1
As4 As 0.750 0.243 0.257 1
As5 As 0.246 0.246 0.261 1
As6 As 0.250 0.757 0.743 1
As7 As 0.243 0.750 0.257 1
As8 As 0.754 0.754 0.739 1
```

---

Here is a geometry-optimized Np2Ga8Re structure from Alexandria. Energies are from GGA-PBE.

Properties
Total DFT energy (no corrections), eV per atom: -5.841

```
data_Np2Ga8Re
_chemical_formula_sum 'Np2 Ga8 Re1'
_space_group_name_H-M_alt 'P 1'
_space_group_IT_number 1
_cell_length_a 4.393
_cell_length_b 4.393
_cell_length_c 10.883
_cell_angle_alpha 90.00
_cell_angle_beta 90.00
_cell_angle_gamma 90.00
loop_
_space_group_symop_operation_xyz
'x,y,z'
loop_
_atom_site_label
_atom_site_type_symbol
_atom_site_fract_x
_atom_site_fract_y
_atom_site_fract_z
_atom_site_occupancy
Np1 Np 0.000 0.000 0.307 1
Np2 Np 0.000 0.000 0.693 1
Re1 Re 0.000 0.000 0.000 1
Ga1 Ga 0.500 0.500 0.310 1
Ga2 Ga 0.500 0.000 0.876 1
Ga3 Ga 0.500 0.000 0.124 1
Ga4 Ga 0.000 0.500 0.876 1
Ga5 Ga 0.500 0.500 0.690 1
Ga6 Ga 0.000 0.500 0.124 1
Ga7 Ga 0.500 0.000 0.500 1
Ga8 Ga 0.000 0.500 0.500 1
```

---

Here is a geometry-optimized TbScZn3 structure from Alexandria. Energies are from GGA-PBE.

Properties
Total DFT energy (no corrections), eV per atom: -3.223

```
data_TbScZn3
_chemical_formula_sum 'Tb2 Sc2 Zn6'
_space_group_name_H-M_alt 'P 1'
_space_group_IT_number 1
_cell_length_a 4.566
_cell_length_b 5.812
_cell_length_c 8.529
_cell_angle_alpha 109.69
_cell_angle_beta 105.53
_cell_angle_gamma 90.00
loop_
_space_group_symop_operation_xyz
'x,y,z'
loop_
_atom_site_label
_atom_site_type_symbol
_atom_site_fract_x
_atom_site_fract_y
_atom_site_fract_z
_atom_site_occupancy
Zn1 Zn 0.944 0.102 0.888 1
Zn2 Zn 0.791 0.718 0.582 1
Zn3 Zn 0.056 0.898 0.112 1
Zn4 Zn 0.629 0.874 0.259 1
Zn5 Zn 0.371 0.126 0.741 1
Zn6 Zn 0.209 0.282 0.418 1
Tb1 Tb 0.579 0.323 0.157 1
Tb2 Tb 0.421 0.677 0.843 1
Sc1 Sc 0.203 0.761 0.406 1
Sc2 Sc 0.797 0.239 0.594 1
```

---

Here is a geometry-optimized LiTaGeO5 structure from Alexandria. Energies are from GGA-PBE.

Properties
Energy relative to the lowest polymorph listed for this composition, eV per formula unit: 0.30
Uncorrected formation energy, eV/f.u.: -18.3

```
data_LiTaGeO5
_chemical_formula_sum 'Li2 Ta2 Ge2 O10'
_space_group_name_H-M_alt 'P 1'
_space_group_IT_number 1
_cell_length_a 5.600
_cell_length_b 5.600
_cell_length_c 7.444
_cell_angle_alpha 103.69
_cell_angle_beta 103.69
_cell_angle_gamma 110.14
loop_
_space_group_symop_operation_xyz
'x,y,z'
loop_
_atom_site_label
_atom_site_type_symbol
_atom_site_fract_x
_atom_site_fract_y
_atom_site_fract_z
_atom_site_occupancy
Li1 Li 0.293 0.707 0.250 1
Li2 Li 0.707 0.293 0.750 1
O1 O 0.391 0.224 0.069 1
O2 O 0.952 0.332 0.138 1
O3 O 0.332 0.952 0.638 1
O4 O 0.609 0.776 0.931 1
O5 O 0.048 0.668 0.862 1
O6 O 0.668 0.048 0.362 1
O7 O 0.075 0.925 0.250 1
O8 O 0.224 0.391 0.569 1
O9 O 0.776 0.609 0.431 1
O10 O 0.925 0.075 0.750 1
Ta1 Ta 0.000 0.000 0.000 1
Ta2 Ta 0.000 0.000 0.500 1
Ge1 Ge 0.301 0.699 0.750 1
Ge2 Ge 0.699 0.301 0.250 1
```

---

Here is a geometry-optimized CeEr3Th2 structure from Alexandria. Energies are from GGA-PBE.

Properties
Total DFT energy (no corrections), eV per atom: -5.698

```
data_CeEr3Th2
_chemical_formula_sum 'Ce2 Er6 Th4'
_space_group_name_H-M_alt 'P 1'
_space_group_IT_number 1
_cell_length_a 10.945
_cell_length_b 10.945
_cell_length_c 11.499
_cell_angle_alpha 58.56
_cell_angle_beta 58.56
_cell_angle_gamma 18.55
loop_
_space_group_symop_operation_xyz
'x,y,z'
loop_
_atom_site_label
_atom_site_type_symbol
_atom_site_fract_x
_atom_site_fract_y
_atom_site_fract_z
_atom_site_occupancy
Th1 Th 0.720 0.720 0.903 1
Th2 Th 0.946 0.946 0.926 1
Th3 Th 0.054 0.054 0.074 1
Th4 Th 0.280 0.280 0.097 1
Er1 Er 0.612 0.612 0.267 1
Er2 Er 0.723 0.723 0.404 1
Er3 Er 0.277 0.277 0.596 1
Er4 Er 0.056 0.056 0.568 1
Er5 Er 0.944 0.944 0.432 1
Er6 Er 0.388 0.388 0.733 1
Ce1 Ce 0.606 0.606 0.770 1
Ce2 Ce 0.394 0.394 0.230 1
```

---

Here is a geometry-optimized HoThMg2Pd4 structure from Alexandria. Energies are from GGA-PBE.

Properties
Total DFT energy (no corrections), eV per atom: -5.270

```
data_HoThMg2Pd4
_chemical_formula_sum 'Ho1 Th1 Mg2 Pd4'
_space_group_name_H-M_alt 'P 1'
_space_group_IT_number 1
_cell_length_a 4.613
_cell_length_b 4.613
_cell_length_c 9.196
_cell_angle_alpha 75.47
_cell_angle_beta 75.47
_cell_angle_gamma 60.00
loop_
_space_group_symop_operation_xyz
'x,y,z'
loop_
_atom_site_label
_atom_site_type_symbol
_atom_site_fract_x
_atom_site_fract_y
_atom_site_fract_z
_atom_site_occupancy
Pd1 Pd 0.610 0.610 0.169 1
Pd2 Pd 0.390 0.390 0.831 1
Pd3 Pd 0.114 0.114 0.658 1
Pd4 Pd 0.886 0.886 0.342 1
Th1 Th 0.000 0.000 0.000 1
Mg1 Mg 0.756 0.756 0.731 1
Mg2 Mg 0.244 0.244 0.269 1
Ho1 Ho 0.500 0.500 0.500 1
```

---

Here is a geometry-optimized YCdAg structure from Alexandria. Energies are from GGA-PBE.

Properties
Total DFT energy (no corrections), eV per atom: -3.463

```
data_YCdAg
_chemical_formula_sum 'Y1 Cd1 Ag1'
_space_group_name_H-M_alt 'P 1'
_space_group_IT_number 1
_cell_length_a 3.648
_cell_length_b 3.648
_cell_length_c 6.657
_cell_angle_alpha 90.00
_cell_angle_beta 90.00
_cell_angle_gamma 120.00
loop_
_space_group_symop_operation_xyz
'x,y,z'
loop_
_atom_site_label
_atom_site_type_symbol
_atom_site_fract_x
_atom_site_fract_y
_atom_site_fract_z
_atom_site_occupancy
Cd1 Cd 0.667 0.333 0.311 1
Ag1 Ag 0.000 0.000 0.009 1
Y1 Y 0.333 0.667 0.680 1
```